BiC2O2 after structural relaxation, computed with GGA-PBEsol.

Calculated values
The space-group type is P4/mbm, No. 127. As for the total magnetization: 0.00 μB per cell. The value obtained for the total energy is -0.437 Ry/atom. The calculation puts the density of states at the Fermi level at 2.1 states/eV per cell.

a b c (Å): 2.4794 7.2340 7.2340
angles (deg): 90.00 90.00 90.00
With the nearest neighbours (Å) after each atom.
Element x y z (fractional)
C: 0.0000 0.1979 0.6979  2 O 1.47
C: 0.0000 0.6979 0.8021  2 O 1.47
C: 0.0000 0.8021 0.3021  2 O 1.47
C: 0.0000 0.3021 0.1979  2 O 1.47
Bi: 0.0000 0.0000 0.0000  2 Bi 2.48, 4 C 2.61
Bi: 0.0000 0.5000 0.5000  2 Bi 2.48, 4 C 2.61
O: 0.5000 0.1214 0.6214  2 C 1.47
O: 0.5000 0.6214 0.8786  2 C 1.47
O: 0.5000 0.8786 0.3786  2 C 1.47
O: 0.5000 0.3786 0.1214  2 C 1.47